Crystalline SnPWO2 at its relaxed geometry. Source: Alexandria via LeMat-Bulk, functional GGA+U.

Cell lengths 3.9907, 3.9907, 5.2224 Å; angles 90.00, 90.00, 90.00 degrees
With the nearest neighbours (Å) after each atom.
Space group P4/mmm (No. 123)
Symmetry-distinct sites (fractional):
Sn  0.0000  0.0000  0.0000 x1  4 P 2.82
P  0.5000  0.5000  0.0000 x1  2 W 2.61, 4 Sn 2.82
W  0.5000  0.5000  0.5000 x1  4 O 2.00
O  0.0000  0.5000  0.5000 x2  2 W 2.00

Results
The energy above the most stable polymorph in this dataset is 0.000 eV/atom. The total energy comes out at -6.178 eV per atom.